{
  "formula": "TiCuP2O8",
  "functional": "PBEsol",
  "state": "optimized geometry",
  "total_magnetization_mub_per_fu": 1.00,
  "raw_formation_energy_kj_per_mol_atoms": -206.4,
  "polymorph_energy_mev_per_atom": 0.0,
  "cell": [[4.9118, 0.0000, 0.0000], [0.0000, 5.9222, 0.0000], [-0.2922, 0.0000, 9.8368]],
  "species": ["Ti", "Ti", "Cu", "Cu", "P", "P", "P", "P", "O", "O", "O", "O", "O", "O", "O", "O", "O", "O", "O", "O", "O", "O", "O", "O"],
  "frac_coords": [[0.0386, 0.2500, 0.2801], [0.9614, 0.7500, 0.7199], [0.3903, 0.2500, 0.7926], [0.6097, 0.7500, 0.2074], [0.0761, 0.7500, 0.3995], [0.4050, 0.7500, 0.9007], [0.5950, 0.2500, 0.0993], [0.9239, 0.2500, 0.6005], [0.1467, 0.7500, 0.5542], [0.2052, 0.5380, 0.3330], [0.2052, 0.9620, 0.3330], [0.2340, 0.2500, 0.6180], [0.2390, 0.5550, 0.8275], [0.2390, 0.9450, 0.8275], [0.2968, 0.2500, 0.1386], [0.3740, 0.7500, 0.0527], [0.6260, 0.2500, 0.9473], [0.7032, 0.7500, 0.8614], [0.7610, 0.0550, 0.1725], [0.7610, 0.4450, 0.1725], [0.7660, 0.7500, 0.3820], [0.7948, 0.0380, 0.6670], [0.7948, 0.4620, 0.6670], [0.8533, 0.2500, 0.4458]]
}